{
  "formula": "Be3Tc",
  "functional": "PBEsol",
  "state": "relaxed",
  "relative_energy_mev_per_atom": 0,
  "final_energy_ev_per_cell": -48.839,
  "lattice_angstrom": [[3.2715, 0.0000, 0.0000], [0.0000, 3.2715, 0.0000], [-1.6358, -1.6358, 7.0405]],
  "species": ["Be", "Be", "Be", "Be", "Be", "Tc", "Be", "Tc"],
  "fractional_positions": [[0.2500, 0.7500, 0.5000], [0.8618, 0.8618, 0.7237], [0.1382, 0.1382, 0.2763], [0.7500, 0.2500, 0.5000], [0.0000, 0.5000, 0.0000], [0.3834, 0.3834, 0.7669], [0.5000, 0.0000, 0.0000], [0.6166, 0.6166, 0.2331]]
}

---

{
  "formula": "BeTc",
  "functional": "PBEsol",
  "state": "relaxed",
  "relative_energy_mev_per_atom": 1988,
  "final_energy_ev_per_cell": -11.693,
  "lattice_angstrom": [[3.4335, 0.0000, 0.0000], [1.7168, 2.9735, 0.0000], [1.7168, 0.9912, 2.8034]],
  "species": ["Be", "Tc"],
  "fractional_positions": [[0.0000, 0.0000, 0.0000], [0.2500, 0.2500, 0.2500]]
}

---

{
  "formula": "Be2Tc",
  "functional": "PBEsol",
  "state": "relaxed",
  "relative_energy_mev_per_atom": 0,
  "final_energy_ev_per_cell": -163.330,
  "lattice_angstrom": [[4.3202, 0.0000, 0.0000], [-2.1601, 3.7414, 0.0000], [0.0000, 0.0000, 14.1132]],
  "species": ["Tc", "Be", "Tc", "Tc", "Be", "Tc", "Be", "Be", "Be", "Be", "Be", "Be", "Be", "Be", "Tc", "Be", "Be", "Be", "Tc", "Be", "Tc", "Tc", "Be", "Be"],
  "fractional_positions": [[0.0000, 0.0000, 0.5946], [0.6667, 0.3333, 0.1253], [0.0000, 0.0000, 0.0946], [0.3333, 0.6667, 0.1579], [0.5000, 0.0000, 0.5000], [0.3333, 0.6667, 0.3421], [0.5000, 0.5000, 0.5000], [0.1637, 0.3275, 0.7500], [0.8363, 0.6725, 0.2500], [0.5000, 0.0000, 0.0000], [0.0000, 0.5000, 0.0000], [0.1637, 0.8363, 0.7500], [0.5000, 0.5000, 0.0000], [0.6667, 0.3333, 0.3747], [0.0000, 0.0000, 0.9054], [0.3275, 0.1637, 0.2500], [0.3333, 0.6667, 0.8747], [0.3333, 0.6667, 0.6253], [0.0000, 0.0000, 0.4054], [0.0000, 0.5000, 0.5000], [0.6667, 0.3333, 0.6579], [0.6667, 0.3333, 0.8421], [0.6725, 0.8363, 0.7500], [0.8363, 0.1637, 0.2500]]
}

---

{
  "formula": "BeTc3",
  "functional": "PBEsol",
  "state": "relaxed",
  "relative_energy_mev_per_atom": 0,
  "final_energy_ev_per_cell": -37.182,
  "lattice_angstrom": [[3.0046, 0.0000, 0.0000], [0.0000, 4.1313, 0.0000], [0.0000, 0.0000, 4.1313]],
  "species": ["Tc", "Be", "Tc", "Tc"],
  "fractional_positions": [[0.5000, 0.0000, 0.5000], [0.0000, 0.0000, 0.0000], [0.0000, 0.5000, 0.5000], [0.5000, 0.5000, 0.0000]]
}

---

{
  "formula": "Be3Tc5",
  "functional": "PBEsol",
  "state": "relaxed",
  "final_energy_ev_per_cell": -139.469,
  "lattice_angstrom": [[4.6065, 0.0000, 0.0000], [2.3032, 6.3541, 0.0000], [2.3032, 0.0000, 6.3541]],
  "species": ["Tc", "Tc", "Be", "Be", "Be", "Tc", "Tc", "Tc", "Tc", "Tc", "Tc", "Tc", "Be", "Be", "Tc", "Be"],
  "fractional_positions": [[0.9241, 0.8521, 0.2997], [0.7762, 0.2997, 0.1479], [0.3304, 0.8392, 0.5000], [0.8304, 0.5000, 0.8392], [0.1696, 0.5000, 0.1608], [0.0759, 0.1479, 0.7003], [0.2238, 0.7003, 0.8521], [0.5759, 0.7003, 0.1479], [0.7500, 0.5000, 0.5000], [0.2762, 0.1479, 0.2997], [0.2500, 0.5000, 0.5000], [0.4241, 0.2997, 0.8521], [0.2500, 0.0000, 0.0000], [0.6696, 0.1608, 0.5000], [0.7238, 0.8521, 0.7003], [0.7500, 0.0000, 0.0000]]
}

---

{
  "formula": "BeTc3",
  "functional": "PBEsol",
  "state": "relaxed",
  "relative_energy_mev_per_atom": 18,
  "final_energy_ev_per_cell": -37.111,
  "lattice_angstrom": [[-1.6701, -1.8921, -0.7349], [2.1733, 0.9443, -4.2363], [2.6178, -2.3834, 3.3208]],
  "species": ["Tc", "Tc", "Tc", "Be"],
  "fractional_positions": [[0.5000, 0.0000, 0.5000], [0.5000, 0.5000, 0.0000], [0.0000, 0.5000, 0.5000], [0.0000, 0.0000, 0.0000]]
}

---

{
  "formula": "Be22Tc",
  "functional": "PBEsol",
  "state": "relaxed",
  "final_energy_ev_per_cell": -201.486,
  "lattice_angstrom": [[8.0981, 0.0000, 0.0000], [4.0490, 7.0132, 0.0000], [4.0490, 2.3377, 6.6121]],
  "species": ["Be", "Be", "Be", "Tc", "Be", "Be", "Be", "Be", "Be", "Be", "Be", "Be", "Be", "Be", "Be", "Be", "Be", "Be", "Be", "Be", "Be", "Be", "Be", "Be", "Be", "Be", "Be", "Be", "Be", "Be", "Be", "Be", "Be", "Be", "Be", "Be", "Be", "Be", "Tc", "Be", "Be", "Be", "Be", "Be", "Be", "Be"],
  "fractional_positions": [[0.8007, 0.3303, 0.8007], [0.4493, 0.4493, 0.1816], [0.3303, 0.8007, 0.0684], [0.2500, 0.2500, 0.2500], [0.9197, 0.4493, 0.1816], [0.0684, 0.8007, 0.3303], [0.6353, 0.6353, 0.3647], [0.0684, 0.3303, 0.8007], [0.8007, 0.0684, 0.8007], [0.8007, 0.8007, 0.3303], [0.4493, 0.1816, 0.9197], [0.3303, 0.8007, 0.8007], [0.6250, 0.1250, 0.6250], [0.6353, 0.3647, 0.6353], [0.6147, 0.8853, 0.8853], [0.3647, 0.3647, 0.6353], [0.9197, 0.4493, 0.4493], [0.3647, 0.6353, 0.6353], [0.4493, 0.9197, 0.1816], [0.1816, 0.9197, 0.4493], [0.4493, 0.9197, 0.4493], [0.8007, 0.0684, 0.3303], [0.3647, 0.6353, 0.3647], [0.6147, 0.8853, 0.6147], [0.6147, 0.6147, 0.8853], [0.8007, 0.8007, 0.0684], [0.6250, 0.6250, 0.1250], [0.1250, 0.6250, 0.1250], [0.6250, 0.1250, 0.1250], [0.3303, 0.0684, 0.8007], [0.9197, 0.1816, 0.4493], [0.8853, 0.6147, 0.8853], [0.6353, 0.3647, 0.3647], [0.6250, 0.6250, 0.6250], [0.0684, 0.8007, 0.8007], [0.1816, 0.4493, 0.9197], [0.1250, 0.1250, 0.1250], [0.4493, 0.4493, 0.9197], [0.0000, 0.0000, 0.0000], [0.4493, 0.1816, 0.4493], [0.8853, 0.8853, 0.6147], [0.8007, 0.3303, 0.0684], [0.1250, 0.1250, 0.6250], [0.1250, 0.6250, 0.6250], [0.1816, 0.4493, 0.4493], [0.8853, 0.6147, 0.6147]]
}

---

{
  "formula": "Be3Tc",
  "functional": "PBEsol",
  "state": "relaxed",
  "relative_energy_mev_per_atom": 58,
  "final_energy_ev_per_cell": -48.372,
  "lattice_angstrom": [[3.4552, 0.0000, 0.0000], [0.0000, 4.5644, 0.0000], [0.0000, 0.0000, 4.6389]],
  "species": ["Be", "Be", "Tc", "Be", "Tc", "Be", "Be", "Be"],
  "fractional_positions": [[0.0000, 0.8658, 0.7619], [0.5000, 0.1342, 0.7381], [0.5000, 0.6138, 0.5000], [0.5000, 0.1342, 0.2619], [0.0000, 0.3862, 0.0000], [0.5000, 0.7365, 0.0000], [0.0000, 0.8658, 0.2381], [0.0000, 0.2635, 0.5000]]
}

---

DFT formation energy values (in eV/atom) by entry order: -0.288; 1.787; -0.383; 0.154; -0.175; 0.172; -0.064; -0.230.